{
  "formula": "FeRh2O",
  "functional": "PBE with a Hubbard U",
  "state": "relaxed",
  "cell": [[4.598, 0.000, 0.000], [0.000, 4.598, 0.000], [2.299, 2.299, 6.184]],
  "species": ["O", "Fe", "Rh", "Fe", "O", "Rh", "Rh", "Rh"],
  "fractional_positions": [[0.500, 0.500, 0.000], [0.750, 0.250, 0.500], [0.503, 0.125, 0.250], [0.000, 0.000, 0.000], [0.250, 0.750, 0.500], [0.247, 0.625, 0.250], [0.875, 0.753, 0.750], [0.375, 0.497, 0.750]],
  "sg": "No. 122",
  "energy_ev_per_atom": -5.915,
  "total_magnetization_mub_per_fu": 4.00
}